# LiVGaH2

A geometry-optimized LiVGaH2 structure (PBE, Alexandria via LeMat-Bulk).

Unit cell a=3.7427 b=3.7427 c=5.2134 alpha=90.00 beta=90.00 gamma=90.00
Last column: nearest neighbours and their distance in Å.
Element x y z (fractional)
Li 0.0000 0.0000 0.0000  4 V 2.65
V 0.5000 0.5000 0.0000  2 Ga 2.61, 4 Li 2.65
Ga 0.5000 0.5000 0.5000  4 H 1.87
H 0.0000 0.5000 0.5000  2 Ga 1.87
H 0.5000 0.0000 0.5000  2 Ga 1.87

The density of states at the Fermi level is 4.3 states/eV/f.u. The magnetization is 4.1 Bohr magnetons per cell. The calculation puts the calculated density at 2.95 g/cm³. The uncorrected energy is -16.62 eV for the cell shown. As for the symmetry: P4/mmm, No. 123.